The following is a DFT calculation (SCAN) of CrAg2Sb at its PBEsol-relaxed geometry.

a b c (Å): 3.640 3.640 5.588
angles (deg): 90.00 90.00 90.00
Sites, in units of the cell vectors:
Cr 0.000 0.000 0.000
Ag 0.500 0.500 0.239
Ag 0.500 0.500 0.761
Sb 0.000 0.000 0.500

The following is a DFT calculation (SCAN) of CrAgSb at its PBEsol-relaxed geometry.

- offset from the most stable computed form (eV/atom) = 0.059

a b c (Å): 5.075 5.075 5.075
angles (deg): 142.54 134.91 60.01
Sites, in units of the cell vectors:
Cr 0.000 0.000 0.000
Ag 0.334 0.334 0.000
Sb 0.653 0.653 0.000

no.,Fermi-level density of states (states/eV per atom),total DFT energy (no corrections) (eV/atom)
1,0.347,-29.43
2,0.503,-28.83